[1]
Entry from Alexandria: crystalline Tm2Ag2Au at its relaxed geometry (PBE).

- energy (Ry per atom) = -0.29539
- symmetry = Cmmm (65)
- energy above the most stable polymorph in this dataset (meV/atom) = 0.0
- energy of formation from the pure elements (kJ/mol of formula units) = -210
- crystal system = orthorhombic

Lattice parameters (Å, degrees): 3.518 4.070 7.985 75.24 90.00 90.00
Fractional coordinates of all 5 atoms:
1 Tm 0.500 0.391 0.217
2 Au 0.000 0.000 0.000
3 Ag 0.000 0.192 0.615
4 Ag 0.000 0.808 0.385
5 Tm 0.500 0.609 0.783

---

[2]
Entry from Alexandria: crystalline Li3Sm2In4 at its relaxed geometry (PBE).

- energy (Ry per atom) = -0.23865
- symmetry = Cmce (64)
- energy of formation from the pure elements (kJ/mol of formula units) = -298
- crystal system = orthorhombic

Lattice parameters (Å, degrees): 6.215 8.212 8.832 90.00 110.60 90.00
Fractional coordinates of all 18 atoms:
1 Sm 0.105 0.597 0.211
2 In 0.828 0.016 0.656
3 Li 0.016 0.750 0.533
4 Li 0.516 0.750 0.533
5 Sm 0.895 0.403 0.789
6 In 0.187 0.750 0.875
7 Sm 0.395 0.097 0.789
8 In 0.672 0.516 0.344
9 In 0.328 0.484 0.656
10 In 0.313 0.250 0.125
11 In 0.172 0.984 0.344
12 In 0.813 0.250 0.125
13 Li 0.984 0.250 0.467
14 Li 0.500 0.500 0.000
15 Li 0.484 0.250 0.467
16 In 0.687 0.750 0.875
17 Sm 0.605 0.903 0.211
18 Li 0.000 0.000 0.000

---

[3]
Entry from Alexandria: crystalline DySn2P2Pd7 at its relaxed geometry (PBE).

- energy (Ry per atom) = -0.40352
- symmetry = C2/m (12)
- energy of formation from the pure elements (kJ/mol of formula units) = -589
- crystal system = monoclinic

Lattice parameters (Å, degrees): 4.121 4.121 13.242 77.93 77.93 89.22
Fractional coordinates of all 12 atoms:
1 Pd 0.388 0.887 0.168
2 Pd 0.500 0.500 0.000
3 P 0.679 0.679 0.732
4 Dy 0.000 0.000 0.000
5 Pd 0.746 0.746 0.548
6 Pd 0.254 0.254 0.452
7 Pd 0.612 0.113 0.832
8 P 0.321 0.321 0.268
9 Sn 0.243 0.243 0.653
10 Pd 0.887 0.388 0.168
11 Sn 0.757 0.757 0.347
12 Pd 0.113 0.612 0.832

---

[4]
Entry from Alexandria: crystalline TlHgIO5 at its relaxed geometry (PBE).

- energy (Ry per atom) = -0.28799
- symmetry = C2/c (15)
- energy relative to the elements, uncorrected (eV/atom) = -0.2922
- crystal system = monoclinic

Lattice parameters (Å, degrees): 6.104 6.104 8.987 111.76 111.76 87.41
Fractional coordinates of all 16 atoms:
1 O 0.373 0.286 0.145
2 I 0.701 0.299 0.250
3 O 0.780 0.294 0.047
4 I 0.299 0.701 0.750
5 Tl 0.000 0.000 0.000
6 O 0.220 0.706 0.953
7 O 0.286 0.373 0.645
8 O 0.055 0.945 0.250
9 Tl 0.000 0.000 0.500
10 O 0.945 0.055 0.750
11 Hg 0.307 0.693 0.250
12 O 0.294 0.780 0.547
13 Hg 0.693 0.307 0.750
14 O 0.627 0.714 0.855
15 O 0.714 0.627 0.355
16 O 0.706 0.220 0.453

---

[5]
Entry from Alexandria: crystalline La2ThNiS5 at its relaxed geometry (PBE).

- energy (Ry per atom) = -0.49148
- symmetry = Cmc2_1 (36)
- energy relative to the elements, uncorrected (eV/atom) = -1.8322
- crystal system = orthorhombic

Lattice parameters (Å, degrees): 3.945 8.637 12.237 90.00 90.00 103.20
Fractional coordinates of all 18 atoms:
1 S 0.683 0.367 0.860
2 S 0.342 0.685 0.021
3 Th 0.826 0.651 0.525
4 S 0.495 0.991 0.754
5 S 0.317 0.633 0.360
6 La 0.888 0.776 0.851
7 S 0.302 0.605 0.690
8 Ni 0.556 0.111 0.920
9 S 0.014 0.028 0.008
10 Ni 0.444 0.889 0.420
11 S 0.658 0.315 0.521
12 La 0.886 0.771 0.195
13 Th 0.174 0.349 0.025
14 S 0.505 0.009 0.254
15 S 0.986 0.972 0.508
16 La 0.112 0.224 0.351
17 S 0.698 0.395 0.190
18 La 0.114 0.229 0.695

---

[6]
Entry from Alexandria: crystalline Y2HfMnSn at its relaxed geometry (PBE).

- energy (Ry per atom) = -0.45599
- symmetry = P4/mmm (123)
- energy of formation from the pure elements (kJ/mol of formula units) = 486
- crystal system = tetragonal

Lattice parameters (Å, degrees): 5.609 4.683 5.609 90.00 90.00 90.00
Each line ends with the local moment (μB).
Fractional coordinates of all 5 atoms:
1 Sn 0.000 0.000 0.000  0.02
2 Y 0.000 0.000 0.500  0.16
3 Y 0.500 0.000 0.000  0.17
4 Mn 0.000 0.500 0.000  -0.24
5 Hf 0.500 0.500 0.500  0.58

---

[7]
Entry from Alexandria: crystalline La2ErTl at its relaxed geometry (PBE).

- energy (Ry per atom) = -0.32139
- symmetry = P2_1/m (11)
- energy above the most stable polymorph in this dataset (meV/atom) = 27.5
- energy of formation from the pure elements (kJ/mol of formula units) = -68
- crystal system = monoclinic

Lattice parameters (Å, degrees): 5.374 7.121 6.914 103.74 90.00 90.00
Fractional coordinates of all 8 atoms:
1 Tl 0.250 0.782 0.627
2 La 0.250 0.420 0.158
3 Er 0.250 0.273 0.611
4 Tl 0.750 0.218 0.373
5 Er 0.750 0.727 0.389
6 La 0.750 0.580 0.842
7 La 0.250 0.909 0.140
8 La 0.750 0.091 0.860

---

[8]
Entry from Alexandria: crystalline ZnCuHg4 at its relaxed geometry (PBE).

- energy (Ry per atom) = -0.04470
- symmetry = F-43m (216)
- energy of formation from the pure elements (kJ/mol of formula units) = 283
- crystal system = cubic

Lattice parameters (Å, degrees): 5.961 5.961 5.961 60.00 60.00 60.00
Fractional coordinates of all 6 atoms:
1 Hg 0.876 0.375 0.375
2 Hg 0.375 0.375 0.375
3 Hg 0.375 0.375 0.876
4 Hg 0.375 0.876 0.375
5 Cu 0.000 0.000 0.000
6 Zn 0.750 0.750 0.750

---

[9]
Entry from Alexandria: crystalline Hf2ZrAs2 at its relaxed geometry (PBE).

- energy (Ry per atom) = -0.62165
- symmetry = P4/mbm (127)
- energy above the most stable polymorph in this dataset (meV/atom) = 0.0
- energy of formation from the pure elements (kJ/mol of formula units) = -438
- crystal system = tetragonal

Lattice parameters (Å, degrees): 7.310 7.310 3.583 90.00 90.00 90.00
Fractional coordinates of all 10 atoms:
1 Hf 0.845 0.345 0.500
2 Hf 0.655 0.845 0.500
3 As 0.856 0.644 0.000
4 As 0.644 0.144 0.000
5 As 0.356 0.856 0.000
6 Zr 0.500 0.500 0.000
7 Zr 0.000 0.000 0.000
8 Hf 0.155 0.655 0.500
9 Hf 0.345 0.155 0.500
10 As 0.144 0.356 0.000

---

[10]
Entry from Alexandria: crystalline ZrSiSe2 at its relaxed geometry (PBE).

- energy (Ry per atom) = -0.41513
- symmetry = C2/m (12)
- energy relative to the elements, uncorrected (eV/atom) = -0.4131
- crystal system = monoclinic

Lattice parameters (Å, degrees): 4.969 4.969 5.030 86.00 86.00 41.44
Fractional coordinates of all 4 atoms:
1 Zr 0.250 0.250 0.250
2 Se 0.545 0.545 0.476
3 Se 0.955 0.955 0.024
4 Si 0.750 0.750 0.750

---

[11]
Entry from Alexandria: crystalline ZrTiBi2 at its relaxed geometry (PBE).

- energy (Ry per atom) = -0.45020
- symmetry = P4/mmm (123)
- energy above the most stable polymorph in this dataset (meV/atom) = 7.1
- energy of formation from the pure elements (kJ/mol of formula units) = -29
- crystal system = tetragonal

Lattice parameters (Å, degrees): 3.569 3.569 7.296 90.00 90.00 90.00
Fractional coordinates of all 4 atoms:
1 Zr 0.500 0.500 0.500
2 Ti 0.500 0.500 0.000
3 Bi 0.000 0.000 0.763
4 Bi 0.000 0.000 0.237

---

[12]
Entry from Alexandria: crystalline Tb3Nd2Dy6 at its relaxed geometry (PBE).

- energy (Ry per atom) = -0.32132
- symmetry = I4/mmm (139)
- energy above the most stable polymorph in this dataset (meV/atom) = 86.3
- energy of formation from the pure elements (kJ/mol of formula units) = 285
- crystal system = tetragonal

Lattice parameters (Å, degrees): 4.741 4.741 17.004 98.01 98.01 90.00
Fractional coordinates of all 11 atoms:
1 Dy 0.696 0.696 0.392
2 Nd 0.454 0.454 0.908
3 Nd 0.546 0.546 0.092
4 Tb 0.000 0.000 0.000
5 Dy 0.622 0.122 0.244
6 Dy 0.304 0.304 0.608
7 Tb 0.799 0.799 0.597
8 Dy 0.878 0.378 0.756
9 Dy 0.122 0.622 0.244
10 Tb 0.201 0.201 0.403
11 Dy 0.378 0.878 0.756